# RbPa2NiO8

A geometry-optimized RbPa2NiO8 structure (PBE+U, Alexandria via LeMat-Bulk).

Volume in Å³ per cell: 183.7
Final energy in eV per atom: -7.39
Symmetry: No. 164

Cell: 5.048 5.048 8.322 Å, 90.00 90.00 120.00°
Atoms (fractional coordinates):
Rb  0.000  0.000  0.500
Pa  0.667  0.333  0.132
Pa  0.333  0.667  0.868
Ni  0.000  0.000  0.000
O  0.827  0.654  0.876
O  0.346  0.173  0.876
O  0.827  0.173  0.876
O  0.173  0.346  0.124
O  0.654  0.827  0.124
O  0.173  0.827  0.124
O  0.667  0.333  0.358
O  0.333  0.667  0.642